# 1
A relaxed InRh crystal, computed with PBE.

Results
- N(E_F): 0.67 states/eV per atom
- Calculated density: 9.80 Mg/m³
- Formation enthalpy at 0 K: -0.104 eV per atom

a b c (Å): 8.9460 8.9460 3.6885
angles (deg): 90.00 90.00 90.00
With the nearest neighbours (Å) after each atom.
Sites, in units of the cell vectors:
In1 0.1618 0.1618 0.0000  6 Rh 2.82-3.03, 4 In 2.89-2.90
In2 0.1618 0.8382 0.0000  6 Rh 2.82-3.03, 4 In 2.89-2.90
In3 0.3382 0.3382 0.5000  6 Rh 2.82-3.03, 4 In 2.89-2.90
In4 0.3382 0.6619 0.5000  6 Rh 2.82-3.03, 4 In 2.89-2.90
In5 0.6619 0.3382 0.5000  6 Rh 2.82-3.03, 4 In 2.89-2.90
In6 0.6619 0.6619 0.5000  6 Rh 2.82-3.03, 4 In 2.89-2.90
In7 0.8382 0.1618 0.0000  6 Rh 2.82-3.03, 4 In 2.89-2.90
In8 0.8382 0.8382 0.0000  6 Rh 2.82-3.03, 4 In 2.89-2.90
Rh1 0.0000 0.3369 0.5000  5 Rh 2.77-2.92, 6 In 2.82-3.03
Rh2 0.0000 0.6631 0.5000  5 Rh 2.77-2.92, 6 In 2.82-3.03
Rh3 0.1631 0.5000 0.0000  5 Rh 2.77-2.92, 6 In 2.82-3.03
Rh4 0.3369 0.0000 0.5000  5 Rh 2.77-2.92, 6 In 2.82-3.03
Rh5 0.5000 0.1631 0.0000  5 Rh 2.77-2.92, 6 In 2.82-3.03
Rh6 0.5000 0.8369 0.0000  5 Rh 2.77-2.92, 6 In 2.82-3.03
Rh7 0.6631 0.0000 0.5000  5 Rh 2.77-2.92, 6 In 2.82-3.03
Rh8 0.8369 0.5000 0.0000  5 Rh 2.77-2.92, 6 In 2.82-3.03

=====

# 2
A relaxed InRh crystal, computed with PBE.

Results
- N(E_F): 1.30 states/eV per atom
- Calculated density: 9.48 Mg/m³
- Formation enthalpy at 0 K: -0.169 eV per atom

a b c (Å): 8.2305 8.2305 4.5059
angles (deg): 90.00 90.00 90.00
With the nearest neighbours (Å) after each atom.
Sites, in units of the cell vectors:
In1 0.0000 0.2721 0.0000  6 Rh 2.75-2.78
In2 0.0000 0.7279 0.0000  6 Rh 2.75-2.78
In3 0.2279 0.5000 0.5000  6 Rh 2.75-2.78
In4 0.2721 0.0000 0.0000  6 Rh 2.75-2.78
In5 0.5000 0.2279 0.5000  6 Rh 2.75-2.78
In6 0.5000 0.7721 0.5000  6 Rh 2.75-2.78
In7 0.7279 0.0000 0.0000  6 Rh 2.75-2.78
In8 0.7721 0.5000 0.5000  6 Rh 2.75-2.78
Rh1 0.1712 0.1712 0.5000  6 In 2.75-2.78, 4 Rh 2.82-2.91
Rh2 0.1712 0.8288 0.5000  6 In 2.75-2.78, 4 Rh 2.82-2.91
Rh3 0.3288 0.3288 0.0000  6 In 2.75-2.78, 4 Rh 2.82-2.91
Rh4 0.3288 0.6712 0.0000  6 In 2.75-2.78, 4 Rh 2.82-2.91
Rh5 0.6712 0.3288 0.0000  6 In 2.75-2.78, 4 Rh 2.82-2.91
Rh6 0.6712 0.6712 0.0000  6 In 2.75-2.78, 4 Rh 2.82-2.91
Rh7 0.8288 0.1712 0.5000  6 In 2.75-2.78, 4 Rh 2.82-2.91
Rh8 0.8288 0.8288 0.5000  6 In 2.75-2.78, 4 Rh 2.82-2.91

=====

# 3
A relaxed InRh crystal, computed with PBE.

Results
- N(E_F): 0.85 states/eV per atom
- Calculated density: 9.98 Mg/m³
- Formation enthalpy at 0 K: -0.217 eV per atom

a b c (Å): 3.2382 3.2382 3.9897
angles (deg): 90.00 90.00 120.00
With the nearest neighbours (Å) after each atom.
Sites, in units of the cell vectors:
In1 0.0000 0.0000 0.0000  6 Rh 2.73
Rh1 0.6667 0.3333 0.5000  6 In 2.73